## BaLaPb2 (meta-GGA SCAN)

Data for a PBEsol-optimized structure of BaLaPb2.

a b c (Å): 6.1145 6.1145 3.5353
angles (deg): 90.00 90.00 90.00
Last column: nearest neighbours and their distance in Å.
Element x y z (fractional)
Ba1 0.0000 0.0000 0.0000  8 Pb 3.53, 2 Ba 3.54
La1 0.5000 0.5000 0.0039  8 Pb 3.53-3.54, 2 La 3.54
Pb1 0.0000 0.5000 0.5013  4 La 3.53-3.54, 4 Ba 3.53, 2 Pb 3.54
Pb2 0.5000 0.0000 0.5013  4 La 3.53-3.54, 4 Ba 3.53, 2 Pb 3.54

Summary:
The space group is P4mm, No. 99. As for the formation energy from the elements: -0.719 eV per atom.

=====

## CaSbMoSe2 (meta-GGA SCAN)

Data for a PBEsol-optimized structure of CaSbMoSe2.

a b c (Å): 5.1785 5.1785 5.4967
angles (deg): 90.00 90.00 90.00
Last column: nearest neighbours and their distance in Å.
Element x y z (fractional)
Ca1 0.0000 0.0000 0.0000  4 Se 2.59, 2 Mo 2.75
Sb1 0.5000 0.5000 0.5000  4 Mo 3.66, 8 Se 3.78
Mo1 0.0000 0.0000 0.5000  2 Ca 2.75
Se1 0.0000 0.5000 0.0000  2 Ca 2.59
Se2 0.5000 0.0000 0.0000  2 Ca 2.59

Summary:
As for the formation energy from raw total energies: 902 meV per atom. The space group is P4/mmm, No. 123.

=====

## In3OsBr (meta-GGA SCAN)

Data for a PBEsol-optimized structure of In3OsBr.

a b c (Å): 5.3714 5.3714 5.3714
angles (deg): 90.00 90.00 90.00
Last column: nearest neighbours and their distance in Å.
Element x y z (fractional)
In1 0.0000 0.0000 0.5000  2 Br 2.69
In2 0.0000 0.5000 0.0000  2 Br 2.69
In3 0.5000 0.0000 0.0000  2 Br 2.69
Os1 0.5000 0.5000 0.5000  12 In 3.80
Br1 0.0000 0.0000 0.0000  6 In 2.69

Summary:
As for the formation energy from raw total energies: 1627 meV per atom. The space group is Pm-3m, No. 221.

=====

## TiAg2HgH (meta-GGA SCAN)

Data for a PBEsol-optimized structure of TiAg2HgH.

a b c (Å): 5.2069 5.2069 3.3592
angles (deg): 90.00 90.00 90.00
Last column: nearest neighbours and their distance in Å.
Element x y z (fractional)
Ti1 0.0000 0.0000 0.0000  8 Ag 3.10, 2 Ti 3.36
Ag1 0.0000 0.5000 0.5000  2 Hg 2.60
Ag2 0.5000 0.0000 0.5000  2 Hg 2.60
Hg1 0.5000 0.5000 0.5000  2 H 1.68
H1 0.5000 0.5000 0.0000  2 Hg 1.68

Summary:
As for the total DFT energy (no corrections): -29.444 eV per atom. The space group is P4/mmm, No. 123.

=====

## SiTe2Cl (meta-GGA SCAN)

Data for a PBEsol-optimized structure of SiTe2Cl.

a b c (Å): 4.2032 4.2032 5.4810
angles (deg): 90.00 90.00 90.00
Last column: nearest neighbours and their distance in Å.
Element x y z (fractional)
Si1 0.0000 0.0000 0.0000  4 Cl 2.97
Te1 0.0000 0.5000 0.5000  4 Te 2.97
Te2 0.5000 0.0000 0.5000  4 Te 2.97
Cl1 0.5000 0.5000 0.0000  4 Si 2.97

Summary:
As for the formation energy from raw total energies: 391 meV per atom. The space group is P4/mmm, No. 123. The excess energy over the best structure of this formula in the dataset is 138 kJ/mol of formula units.

=====

## LaTaCo2 (meta-GGA SCAN)

Data for a PBEsol-optimized structure of LaTaCo2.

a b c (Å): 4.7226 4.7226 2.9087
angles (deg): 90.00 90.00 90.00
Last column: nearest neighbours and their distance in Å.
Element x y z (fractional)
La1 0.0000 0.0000 0.0000  8 Co 2.77, 2 La 2.91
Ta1 0.5000 0.5000 0.0000  8 Co 2.77, 2 Ta 2.91
Co1 0.0000 0.5000 0.5000  4 Ta 2.77, 4 La 2.77, 2 Co 2.91
Co2 0.5000 0.0000 0.5000  4 Ta 2.77, 4 La 2.77, 2 Co 2.91

Summary:
The space group is P4/mmm, No. 123. As for the formation energy from the elements: 0.257 eV per atom. The excess energy over the best structure of this formula in the dataset is 31 kJ/mol of formula units.

=====

## LiPtI2 (meta-GGA SCAN)

Data for a PBEsol-optimized structure of LiPtI2.

a b c (Å): 5.0540 5.0540 5.0540
angles (deg): 60.00 60.00 60.00
Last column: nearest neighbours and their distance in Å.
Element x y z (fractional)
Li1 0.0000 0.0000 0.0000  8 I 3.09
Pt1 0.5000 0.5000 0.5000  8 I 3.09
I1 0.2500 0.2500 0.2500  4 Li 3.09, 4 Pt 3.09
I2 0.7500 0.7500 0.7500  4 Li 3.09, 4 Pt 3.09

Summary:
As for the formation energy from raw total energies: 247 meV per atom. The space group is Fm-3m, No. 225.

=====

## Mn2Pt (meta-GGA SCAN)

Data for a PBEsol-optimized structure of Mn2Pt.

a b c (Å): 4.6767 4.6767 4.6767
angles (deg): 60.00 60.00 60.00
Last column: nearest neighbours and their distance in Å.
Element x y z (fractional)
Mn1 0.0000 0.0000 0.0000  6 Mn 2.34
Mn2 0.0000 0.0000 0.5000  6 Mn 2.34
Mn3 0.0000 0.5000 0.0000  6 Mn 2.34
Mn4 0.5000 0.0000 0.0000  6 Mn 2.34
Pt1 0.3750 0.3750 0.3750  12 Mn 2.74, 4 Pt 2.86
Pt2 0.6250 0.6250 0.6250  12 Mn 2.74, 4 Pt 2.86

Summary:
The space group is Fd-3m, No. 227. As for the formation energy from the elements: -0.072 eV per atom.

=====

## Ca4YSi (meta-GGA SCAN)

Data for a PBEsol-optimized structure of Ca4YSi.

a b c (Å): 6.4977 6.4977 6.4977
angles (deg): 60.00 60.00 60.00
Last column: nearest neighbours and their distance in Å.
Element x y z (fractional)
Ca1 0.1251 0.1251 0.1251  6 Ca 3.25
Ca2 0.1251 0.1251 0.6246  6 Ca 3.25
Ca3 0.1251 0.6246 0.1251  6 Ca 3.25
Ca4 0.6246 0.1251 0.1251  6 Ca 3.25
Y1 0.7500 0.7500 0.7500  12 Ca 3.81, 4 Si 3.98
Si1 0.5000 0.5000 0.5000  12 Ca 3.81, 4 Y 3.98

Summary:
As for the formation energy from raw total energies: 551 meV per atom. The space group is F-43m, No. 216.

=====

## La2Cu (meta-GGA SCAN)

Data for a PBEsol-optimized structure of La2Cu.

a b c (Å): 6.3149 6.3149 6.3149
angles (deg): 146.47 146.47 48.15
Last column: nearest neighbours and their distance in Å.
Element x y z (fractional)
La1 0.1468 0.1468 0.0000  4 Cu 3.08, 1 La 3.39
La2 0.8532 0.8532 0.0000  4 Cu 3.08, 1 La 3.39
Cu1 0.5000 0.5000 0.0000  8 La 3.08

Summary:
The space group is I4/mmm, No. 139. As for the formation energy from the elements: -0.061 eV per atom.

=====

## LiSe2Cl (meta-GGA SCAN)

Data for a PBEsol-optimized structure of LiSe2Cl.

a b c (Å): 5.0519 5.0519 2.9196
angles (deg): 90.00 90.00 90.00
Last column: nearest neighbours and their distance in Å.
Element x y z (fractional)
Li1 0.0000 0.0000 0.0000  8 Se 2.92, 2 Li 2.92
Se1 0.0000 0.5000 0.5000  4 Cl 2.92, 4 Li 2.92, 2 Se 2.92
Se2 0.5000 0.0000 0.5000  4 Cl 2.92, 4 Li 2.92, 2 Se 2.92
Cl1 0.5000 0.5000 0.0000  8 Se 2.92, 2 Cl 2.92

Summary:
As for the formation energy from raw total energies: -22 meV per atom. The space group is P4/mmm, No. 123. The excess energy over the best structure of this formula in the dataset is 310 kJ/mol of formula units.

=====

## ZnCuNi2 (meta-GGA SCAN)

Data for a PBEsol-optimized structure of ZnCuNi2.

a b c (Å): 4.3183 4.3183 4.3298
angles (deg): 100.14 100.14 34.05
Last column: nearest neighbours and their distance in Å.
Element x y z (fractional)
Zn1 0.0000 0.0000 0.0000  6 Ni 2.49-2.51, 4 Cu 2.51, 2 Zn 2.53
Cu1 0.5000 0.5000 0.5000  6 Ni 2.49, 4 Zn 2.51, 2 Cu 2.53
Ni1 0.2501 0.2501 0.7475  6 Ni 2.49-2.53, 3 Cu 2.49, 3 Zn 2.49-2.51
Ni2 0.7499 0.7499 0.2525  6 Ni 2.49-2.53, 3 Cu 2.49, 3 Zn 2.49-2.51

Summary:
The space group is C2/m, No. 12. As for the formation energy from the elements: -0.055 eV per atom.

=====

## FeHgRu2 (meta-GGA SCAN)

Data for a PBEsol-optimized structure of FeHgRu2.

a b c (Å): 2.8861 2.8861 6.9217
angles (deg): 90.00 90.00 90.00
Last column: nearest neighbours and their distance in Å.
Element x y z (fractional)
Fe1 0.0000 0.0000 0.0000  8 Ru 2.48
Hg1 0.0000 0.0000 0.5000  4 Hg 2.89, 8 Ru 2.90
Ru1 0.5000 0.5000 0.2033  4 Fe 2.48
Ru2 0.5000 0.5000 0.7967  4 Fe 2.48

Summary:
The space group is P4/mmm, No. 123. As for the formation energy from the elements: 0.314 eV per atom.

=====

## K2AgPPd (meta-GGA SCAN)

Data for a PBEsol-optimized structure of K2AgPPd.

a b c (Å): 6.1842 6.1842 4.3135
angles (deg): 90.00 90.00 90.00
Last column: nearest neighbours and their distance in Å.
Element x y z (fractional)
K1 0.0000 0.5000 0.0000  2 P 3.09
K2 0.5000 0.0000 0.0000  2 P 3.09
Ag1 0.0000 0.0000 0.5000  8 K 3.77
P1 0.5000 0.5000 0.0000  2 Pd 2.16
Pd1 0.5000 0.5000 0.5000  2 P 2.16

Summary:
The space group is P4/mmm, No. 123. As for the formation energy from the elements: -0.031 eV per atom.